Below is LaCuTcPt2 after structural relaxation, with properties calculated at the PBE level.

Unit cell a=4.8654 b=4.7144 c=4.8654 alpha=90.00 beta=90.00 gamma=90.00
With the nearest neighbours (Å) after each atom.
Atoms (fractional coordinates):
Cu 0.0000 0.5000 0.0000  2 Tc 2.36
Tc 0.0000 0.0000 0.0000  2 Cu 2.36, 4 Pt 2.43
Pt 0.0000 0.0000 0.5000  2 Tc 2.43
Pt 0.5000 0.0000 0.0000  2 Tc 2.43
La 0.5000 0.5000 0.5000  8 Pt 3.39, 4 Cu 3.44

Output
The calculated formation energy comes out at 0.092 eV per atom. For the density of states at the Fermi level, the calculation gives 3.526 states/eV/cell.